Record 1
DFT (PBE) results for a relaxed MgInAgRu crystal.

Lattice parameters (Å, degrees): 4.614 4.614 4.614 60.00 60.00 60.00
Fractional coordinates of all 4 atoms:
Ag 0.500 0.500 0.500
Mg 0.750 0.750 0.750
In 0.250 0.250 0.250
Ru 0.000 0.000 0.000

Computed properties:
For the total energy, the calculation gives -4.1321 eV/atom. As for the volume: 69.4 Å³/cell. The symmetry is F-43m (216). The crystal system is cubic. The value obtained for the total magnetic moment is 0.000 μB per atom.



Record 2
DFT (PBE) results for a relaxed MgInAgSb crystal.

Lattice parameters (Å, degrees): 5.126 5.126 5.126 60.00 60.00 60.00
Fractional coordinates of all 4 atoms:
Mg 0.750 0.750 0.750
Sb 0.500 0.500 0.500
Ag 0.250 0.250 0.250
In 0.000 0.000 0.000

Computed properties:
As for the volume: 95.2 Å³/cell. The symmetry is F-43m (216). The crystal system is cubic. The value obtained for the total magnetic moment is 0.000 μB per atom. Its raw formation energy is 0.0068 eV/atom.



Record 3
DFT (PBE) results for a relaxed MgIn2Ag7Sb2 crystal.

Lattice parameters (Å, degrees): 4.076 4.076 15.687 83.17 83.17 90.06
Fractional coordinates of all 12 atoms:
Mg 0.000 0.000 0.000
Ag 0.066 0.566 0.861
In 0.638 0.638 0.721
Ag 0.434 0.934 0.139
Ag 0.269 0.269 0.463
Ag 0.566 0.066 0.861
Sb 0.176 0.176 0.643
Ag 0.934 0.434 0.139
Ag 0.500 0.500 0.000
Sb 0.824 0.824 0.357
Ag 0.731 0.731 0.537
In 0.362 0.362 0.279

Computed properties:
As for the volume: 256.9 Å³/cell. The symmetry is C2/m (12). The crystal system is monoclinic. The value obtained for the total magnetic moment is 0.000 μB per atom. Its raw formation energy is 0.0326 eV/atom.